Here is crystalline Ce3NdCo2 at its relaxed geometry from Alexandria. Energies are from PBE.

Unit cell a=8.9476 b=8.9476 c=7.8514 alpha=114.30 beta=114.30 gamma=29.12
Sites, in units of the cell vectors:
Ce 0.0263 0.0263 0.2785
Ce 0.2997 0.2997 0.5841
Ce 0.4014 0.4014 0.3594
Ce 0.5986 0.5986 0.6406
Ce 0.7003 0.7003 0.4159
Ce 0.9737 0.9737 0.7215
Nd 0.1763 0.1763 0.0514
Nd 0.8237 0.8237 0.9486
Co 0.1688 0.1688 0.6751
Co 0.4830 0.4830 0.8319
Co 0.5170 0.5170 0.1681
Co 0.8312 0.8312 0.3249

Values from the calculation:
Total magnetic moment in μB/f.u.: 0.0
Polymorph energy (0 for the lowest one) in meV per atom: 36.0
Symmetry: C2/m
DFT formation energy in eV per atom: -0.073